# 1
The following is a DFT calculation (PBE-GGA) of a geometry-optimized TlMo2PbBr structure.

a b c (Å): 4.8062 4.8062 5.7759
angles (deg): 90.00 90.00 90.00
Atoms (fractional coordinates):
Tl  0.0000  0.0000  0.0000
Mo  0.0000  0.5000  0.5000
Mo  0.5000  0.0000  0.5000
Pb  0.5000  0.5000  0.0000
Br  0.5000  0.5000  0.5000

Computed properties:
Theoretical density = 8.5 Mg/m³
Calculated total energy = -21.9 eV per cell

***

# 2
The following is a DFT calculation (PBE-GGA) of a geometry-optimized Y2MoPbBr structure.

a b c (Å): 5.3823 5.3823 4.6551
angles (deg): 90.00 90.00 90.00
Atoms (fractional coordinates):
Y  0.0000  0.5000  0.0000
Y  0.5000  0.0000  0.0000
Mo  0.0000  0.0000  0.5000
Pb  0.5000  0.5000  0.5000
Br  0.0000  0.0000  0.0000

Computed properties:
Theoretical density = 6.9 Mg/m³
Calculated total energy = -27.6 eV per cell